Entry 1:
## ErCuSnTe3 (PBE)

Data for crystalline ErCuSnTe3 at its relaxed geometry.

Summary:
Energy relative to the lowest polymorph listed for this composition in eV/atom: 0.057
Electronic total energy in eV per atom: -4.214

Cell lengths 19.7381, 4.2667, 8.5491 Å; angles 90.00, 102.46, 90.00 degrees
Space group C2/m (No. 12)
Symmetry-distinct sites (fractional):
Er (0.1586, 0.0000, 0.0818)
Cu (0.0461, 0.5000, 0.2075)
Sn (0.1206, 0.0000, 0.5658)
Te (0.0000, 0.0000, 0.0000)
Te (0.0000, 0.5000, 0.5000)
Te (0.1782, 0.5000, 0.3383)
Te (0.1792, 0.5000, 0.8429)

=====

Entry 2:
## Tm2Ni (PBE)

Data for crystalline Tm2Ni at its relaxed geometry.

Summary:
Electronic total energy in eV per atom: -5.062
Energy relative to the elements in eV/atom: -0.223

Cell lengths 7.6545, 7.6545, 3.9293 Å; angles 90.00, 90.00, 120.00 degrees
Space group P-62m (No. 189)
Symmetry-distinct sites (fractional):
Tm (0.0000, 0.2501, 0.0000)
Tm (0.0000, 0.5850, 0.5000)
Ni (0.0000, 0.0000, 0.5000)
Ni (0.3333, 0.6667, 0.0000)

=====

Entry 3:
## ReSn2 (PBE)

Data for crystalline ReSn2 at its relaxed geometry.

Summary:
Electronic total energy in eV per atom: -5.942

Cell lengths 4.6384, 4.6384, 3.4583 Å; angles 90.00, 90.00, 120.00 degrees
Space group P-3m1 (No. 164)
Symmetry-distinct sites (fractional):
Re (0.0000, 0.0000, 0.0000)
Sn (0.3333, 0.6667, 0.2304)

=====

Please write out number 2 again, unchanged.
## Tm2Ni (PBE)

Data for crystalline Tm2Ni at its relaxed geometry.

Summary:
Electronic total energy in eV per atom: -5.062
Energy relative to the elements in eV/atom: -0.223

Cell lengths 7.6545, 7.6545, 3.9293 Å; angles 90.00, 90.00, 120.00 degrees
Space group P-62m (No. 189)
Symmetry-distinct sites (fractional):
Tm (0.0000, 0.2501, 0.0000)
Tm (0.0000, 0.5850, 0.5000)
Ni (0.0000, 0.0000, 0.5000)
Ni (0.3333, 0.6667, 0.0000)